The following is a PBE calculation of AcPr3Ir after structural relaxation, from the Alexandria database.

Unit cell a=5.7275 b=5.7275 c=5.7275 alpha=90.00 beta=90.00 gamma=90.00
Space group Pm-3m (No. 221)
Unique sites:
Ac 0.0000 0.0000 0.0000 [1 per cell]
Pr 0.0000 0.5000 0.5000 [3 per cell]
Ir 0.5000 0.5000 0.5000 [1 per cell]

Properties
Its crystal system is cubic. The calculation puts the energy relative to the lowest polymorph listed for this composition at 0.068 eV/atom. As for the formation energy: -180 meV/atom.